1.
A plane-wave DFT calculation with GGA-PBE was carried out for an optimized crystal structure of DyZr3Sc3.

Cell: 5.847 5.916 14.588 Å, 80.16 62.37 53.02°
Fractional positions:
1 Zr 0.816 0.446 0.777
2 Zr 0.376 0.077 0.821
3 Zr 0.120 0.735 0.807
4 Zr 0.880 0.265 0.193
5 Zr 0.624 0.923 0.179
6 Zr 0.184 0.554 0.223
7 Sc 0.634 0.606 0.402
8 Sc 0.665 0.740 0.598
9 Sc 0.024 0.951 0.384
10 Sc 0.335 0.260 0.402
11 Sc 0.976 0.049 0.616
12 Sc 0.366 0.394 0.598
13 Dy 0.378 0.340 0.993
14 Dy 0.622 0.660 0.007

## Properties
Density of states at the Fermi level in states/eV per atom: 1.36
Space group: P-1, No. 2
E_tot in eV/atom: -6.88
E_form in eV/atom: 0.15
Crystal system: triclinic

=====

2.
A plane-wave DFT calculation with GGA-PBE was carried out for an optimized crystal structure of Na4HgF6.

Cell: 6.986 6.986 6.986 Å, 89.38 89.38 90.62°
Fractional positions:
1 Na 0.588 0.912 0.750
2 Na 0.912 0.250 0.412
3 Na 0.750 0.750 0.250
4 Na 0.250 0.588 0.088
5 Na 0.250 0.250 0.750
6 Na 0.750 0.412 0.912
7 Na 0.088 0.750 0.588
8 Na 0.412 0.088 0.250
9 F 0.819 0.572 0.538
10 F 0.072 0.319 0.038
11 F 0.928 0.681 0.962
12 F 0.538 0.181 0.572
13 F 0.181 0.428 0.462
14 F 0.962 0.072 0.681
15 F 0.681 0.038 0.072
16 F 0.462 0.819 0.428
17 F 0.038 0.928 0.319
18 F 0.319 0.962 0.928
19 F 0.572 0.462 0.181
20 F 0.428 0.538 0.819
21 Hg 0.000 0.000 0.000
22 Hg 0.500 0.500 0.500

## Properties
Density of states at the Fermi level in states/eV per atom: 0.00
E_form (uncorrected) in kJ per mole of atoms: -220.1
Space group: R-3c, No. 167
E_tot in eV/atom: -3.81
Crystal system: trigonal

=====

3.
A plane-wave DFT calculation with GGA-PBE was carried out for an optimized crystal structure of CaPm4Ga5.

Cell: 3.663 3.663 18.418 Å, 90.00 90.00 90.00°
Fractional positions:
1 Pm 0.000 0.000 0.401
2 Pm 0.000 0.000 0.801
3 Pm 0.000 0.000 0.599
4 Pm 0.000 0.000 0.199
5 Ga 0.500 0.500 0.699
6 Ga 0.500 0.500 0.100
7 Ga 0.500 0.500 0.301
8 Ga 0.500 0.500 0.900
9 Ga 0.500 0.500 0.500
10 Ca 0.000 0.000 0.000

## Properties
Density of states at the Fermi level in states/eV per atom: 0.50
Space group: P4/mmm, No. 123
E_tot in eV/atom: -4.15
E_form in eV/atom: -0.54
Crystal system: tetragonal

=====

4.
A plane-wave DFT calculation with GGA-PBE was carried out for an optimized crystal structure of TbTmLu2.

Cell: 5.562 5.562 5.562 Å, 60.00 60.00 60.00°
Fractional positions:
1 Tb 0.000 0.000 0.000
2 Lu 0.250 0.250 0.250
3 Lu 0.750 0.750 0.750
4 Tm 0.500 0.500 0.500

## Properties
Density of states at the Fermi level in states/eV per atom: 1.96
Space group: Fm-3m, No. 225
E_tot in eV/atom: -4.41
E_form in eV/atom: 0.12
Crystal system: cubic
Energy relative to the lowest polymorph listed for this composition in meV/atom: 94

=====

5.
A plane-wave DFT calculation with GGA-PBE was carried out for an optimized crystal structure of Y6Nb4Al43.

Cell: 11.129 11.129 17.819 Å, 90.00 90.00 120.00°
Fractional positions:
1 Al 0.850 0.445 0.250
2 Al 0.763 0.605 0.163
3 Al 0.000 0.256 0.471
4 Al 0.842 0.237 0.163
5 Al 0.841 0.841 0.615
6 Al 0.744 0.744 0.471
7 Al 0.555 0.150 0.750
8 Al 0.159 0.000 0.885
9 Al 0.841 0.841 0.885
10 Al 0.148 0.148 0.750
11 Al 0.247 0.494 0.500
12 Al 0.852 0.000 0.750
13 Al 0.159 0.159 0.115
14 Al 0.333 0.667 0.125
15 Al 0.158 0.395 0.163
16 Al 0.763 0.158 0.837
17 Al 0.150 0.595 0.250
18 Al 0.237 0.842 0.163
19 Al 0.158 0.395 0.337
20 Al 0.256 0.256 0.971
21 Al 0.595 0.150 0.250
22 Al 0.494 0.247 0.500
23 Al 0.763 0.605 0.337
24 Al 0.405 0.850 0.750
25 Al 0.841 0.000 0.385
26 Al 0.395 0.158 0.337
27 Al 0.333 0.667 0.375
28 Al 0.605 0.763 0.337
29 Al 0.744 0.744 0.029
30 Al 0.595 0.445 0.750
31 Al 0.753 0.247 0.500
32 Al 0.605 0.842 0.663
33 Al 0.445 0.850 0.250
34 Al 0.842 0.605 0.837
35 Al 0.753 0.506 0.500
36 Al 0.494 0.247 0.000
37 Al 0.000 0.159 0.885
38 Al 0.000 0.744 0.529
39 Al 0.237 0.395 0.663
40 Al 0.852 0.852 0.250
41 Al 0.000 0.148 0.250
42 Al 0.395 0.237 0.837
43 Al 0.605 0.763 0.163
44 Al 0.247 0.494 0.000
45 Al 0.445 0.595 0.750
46 Al 0.506 0.753 0.500
47 Al 0.667 0.333 0.875
48 Al 0.333 0.667 0.875
49 Al 0.395 0.158 0.163
50 Al 0.395 0.237 0.663
51 Al 0.842 0.237 0.337
52 Al 0.237 0.395 0.837
53 Al 0.506 0.753 0.000
54 Al 0.763 0.158 0.663
55 Al 0.256 0.000 0.471
56 Al 0.247 0.753 0.000
57 Al 0.850 0.405 0.750
58 Al 0.753 0.247 0.000
59 Al 0.247 0.753 0.500
60 Al 0.744 0.000 0.529
61 Al 0.667 0.333 0.375
62 Al 0.841 0.000 0.115
63 Al 0.000 0.841 0.385
64 Al 0.159 0.000 0.615
65 Al 0.555 0.405 0.250
66 Al 0.150 0.555 0.750
67 Al 0.148 0.000 0.250
68 Al 0.842 0.605 0.663
69 Al 0.000 0.744 0.971
70 Al 0.605 0.842 0.837
71 Al 0.000 0.852 0.750
72 Al 0.667 0.333 0.125
73 Al 0.000 0.841 0.115
74 Al 0.744 0.000 0.971
75 Al 0.333 0.667 0.625
76 Al 0.000 0.159 0.615
77 Al 0.256 0.256 0.529
78 Al 0.158 0.763 0.663
79 Al 0.667 0.333 0.625
80 Al 0.405 0.555 0.250
81 Al 0.256 0.000 0.029
82 Al 0.159 0.159 0.385
83 Al 0.158 0.763 0.837
84 Al 0.237 0.842 0.337
85 Al 0.000 0.256 0.029
86 Al 0.753 0.506 0.000
87 Y 0.470 0.470 0.404
88 Y 0.470 0.470 0.096
89 Y 0.530 0.530 0.596
90 Y 0.530 0.530 0.904
91 Y 0.470 0.000 0.596
92 Y 0.000 0.470 0.904
93 Y 0.000 0.530 0.404
94 Y 0.000 0.530 0.096
95 Y 0.530 0.000 0.404
96 Y 0.470 0.000 0.904
97 Y 0.530 0.000 0.096
98 Y 0.000 0.470 0.596
99 Nb 0.000 0.727 0.250
100 Nb 0.727 0.727 0.750
101 Nb 0.000 0.273 0.750
102 Nb 0.273 0.000 0.750
103 Nb 0.000 0.000 0.500
104 Nb 0.000 0.000 0.000
105 Nb 0.273 0.273 0.250
106 Nb 0.727 0.000 0.250

## Properties
Density of states at the Fermi level in states/eV per atom: 0.32
Space group: P6_3/mcm, No. 193
E_tot in eV/atom: -4.87
E_form in eV/atom: -0.34
Crystal system: hexagonal

=====

6.
A plane-wave DFT calculation with GGA-PBE was carried out for an optimized crystal structure of Sr2TeCl.

Cell: 4.633 4.633 7.731 Å, 72.49 72.49 60.03°
Fractional positions:
1 Sr 0.497 0.497 0.510
2 Sr 0.003 0.003 0.990
3 Te 0.250 0.250 0.250
4 Cl 0.750 0.750 0.750

## Properties
Density of states at the Fermi level in states/eV per atom: 0.53
E_form (uncorrected) in kJ per mole of atoms: -159.9
Space group: C2/m, No. 12
E_tot in eV/atom: -3.75
Crystal system: monoclinic
Energy relative to the lowest polymorph listed for this composition in meV/atom: 0

=====

7.
A plane-wave DFT calculation with GGA-PBE was carried out for an optimized crystal structure of LiTc2NiSb.

Cell: 4.164 4.353 4.164 Å, 90.00 90.00 90.00°
Fractional positions:
1 Ni 0.500 0.500 0.500
2 Tc 0.000 0.000 0.500
3 Tc 0.500 0.000 0.000
4 Li 0.000 0.000 0.000
5 Sb 0.000 0.500 0.000

## Properties
Density of states at the Fermi level in states/eV per atom: 1.45
E_form (uncorrected) in kJ per mole of atoms: 110.5
Space group: P4/mmm, No. 123
E_tot in eV/atom: -5.36
Crystal system: tetragonal

=====

8.
A plane-wave DFT calculation with GGA-PBE was carried out for an optimized crystal structure of ZnFe2Co.

Cell: 2.498 2.498 8.142 Å, 90.00 90.00 108.12°
Last column: magnetic moment on the atom in μB.
Fractional positions:
1 Zn 0.500 0.500 0.250  -0.06
2 Fe 0.000 0.000 0.990  2.52
3 Fe 0.000 0.000 0.510  2.52
4 Co 0.500 0.500 0.750  1.80

## Properties
Density of states at the Fermi level in states/eV per atom: 0.67
Space group: Cmmm, No. 65
E_tot in eV/atom: -6.29
E_form in eV/atom: 0.04
Crystal system: orthorhombic

=====

9.
A plane-wave DFT calculation with GGA-PBE was carried out for an optimized crystal structure of HfTa2C.

Cell: 3.092 3.092 8.354 Å, 79.33 79.33 60.00°
Fractional positions:
1 C 0.500 0.500 0.500
2 Ta 0.115 0.115 0.654
3 Ta 0.885 0.885 0.346
4 Hf 0.000 0.000 0.000

## Properties
Density of states at the Fermi level in states/eV per atom: 0.89
Space group: R-3m, No. 166
E_tot in eV/atom: -10.74
E_form in eV/atom: -0.02
Crystal system: trigonal

=====

10.
A plane-wave DFT calculation with GGA-PBE was carried out for an optimized crystal structure of VTeP2S.

Cell: 4.977 4.977 4.923 Å, 90.00 90.00 90.00°
Last column: magnetic moment on the atom in μB.
Fractional positions:
1 V 0.500 0.500 0.500  0.19
2 S 0.000 0.000 0.500  -0.01
3 P 0.000 0.500 0.000  -0.02
4 P 0.500 0.000 0.000  -0.02
5 Te 0.000 0.000 0.000  0.04

## Properties
Density of states at the Fermi level in states/eV per atom: 1.46
E_form (uncorrected) in kJ per mole of atoms: 144.2
Space group: P4/mmm, No. 123
E_tot in eV/atom: -3.95
Crystal system: tetragonal
Energy relative to the lowest polymorph listed for this composition in meV/atom: 1248